(1)
First-principles (GGA-PBE) data for crystalline Ce4Ga16Ni3 at its relaxed geometry, as listed in the Alexandria database.

ΔE_f   -11.88 eV/f.u.
SG   P4/mmm

Lattice parameters (Å, degrees): 6.1584 6.1584 11.1547 90.00 90.00 90.00
Closest atoms and distances in Å follow each position.
Positions (direct):
Ce 0.0000 0.5000 0.1927  12 Ga 3.04-3.10
Ce 0.0000 0.5000 0.8073  12 Ga 3.04-3.10
Ce 0.5000 0.0000 0.1927  12 Ga 3.04-3.10
Ce 0.5000 0.0000 0.8073  12 Ga 3.04-3.10
Ga 0.0000 0.0000 0.1992  8 Ga 2.92-2.97, 4 Ce 3.08
Ga 0.0000 0.0000 0.8008  8 Ga 2.92-2.97, 4 Ce 3.08
Ga 0.2180 0.2180 0.0000  1 Ni 2.46, 2 Ga 2.69
Ga 0.2180 0.7820 0.0000  1 Ni 2.46, 2 Ga 2.69
Ga 0.2469 0.2469 0.3828  2 Ni 2.54, 2 Ga 2.61-2.82
Ga 0.2469 0.2469 0.6172  2 Ni 2.54, 2 Ga 2.61-2.82
Ga 0.2469 0.7531 0.3828  2 Ni 2.54, 2 Ga 2.61-2.82
Ga 0.2469 0.7531 0.6172  2 Ni 2.54, 2 Ga 2.61-2.82
Ga 0.5000 0.5000 0.2244  1 Ni 2.50
Ga 0.5000 0.5000 0.7756  1 Ni 2.50
Ga 0.7531 0.2469 0.3828  2 Ni 2.54, 2 Ga 2.61-2.82
Ga 0.7531 0.2469 0.6172  2 Ni 2.54, 2 Ga 2.61-2.82
Ga 0.7531 0.7531 0.3828  2 Ni 2.54, 2 Ga 2.61-2.82
Ga 0.7531 0.7531 0.6172  2 Ni 2.54, 2 Ga 2.61-2.82
Ga 0.7820 0.2180 0.0000  1 Ni 2.46, 2 Ga 2.69
Ga 0.7820 0.7820 0.0000  1 Ni 2.46, 2 Ga 2.69
Ni 0.0000 0.5000 0.5000  8 Ga 2.54
Ni 0.5000 0.0000 0.5000  8 Ga 2.54
Ni 0.5000 0.5000 0.0000  6 Ga 2.46-2.50

(2)
First-principles (GGA-PBE) data for crystalline Ti2ReNi2 at its relaxed geometry, as listed in the Alexandria database.

Distance to the lowest polymorph of the same formula   0.000 eV per atom
ΔE_f   -1.41 eV/f.u.
SG   Cmmm

Lattice parameters (Å, degrees): 7.4451 7.4451 3.0760 90.00 90.00 155.40
Closest atoms and distances in Å follow each position.
Positions (direct):
Ti 0.1070 0.8930 0.0000  4 Ni 2.52, 4 Re 2.70
Ti 0.8930 0.1070 0.0000  4 Ni 2.52, 4 Re 2.70
Re 0.5000 0.5000 0.5000  8 Ti 2.70, 2 Ni 2.77
Ni 0.3095 0.6905 0.5000  2 Ni 2.35, 4 Ti 2.52
Ni 0.6905 0.3095 0.5000  2 Ni 2.35, 4 Ti 2.52

(3)
First-principles (GGA-PBE) data for crystalline Ce3NpCo8 at its relaxed geometry, as listed in the Alexandria database.

ΔE_f   -2.42 eV/f.u.
SG   R3m

Lattice parameters (Å, degrees): 8.6188 8.6188 8.6188 33.53 33.53 33.53
Closest atoms and distances in Å follow each position.
Positions (direct):
Ce 0.0000 0.0000 0.0000  12 Co 2.91-2.94, 4 Ce 3.04-3.05
Ce 0.1250 0.1250 0.1250  12 Co 2.89-2.92, 1 Ce 3.05, 3 Np 3.05
Ce 0.6254 0.6254 0.6254  12 Co 2.92-2.95, 1 Np 3.03, 3 Ce 3.04
Np 0.5011 0.5011 0.5011  12 Co 2.89-2.92, 4 Ce 3.03-3.05
Co 0.0618 0.0618 0.5610  6 Co 2.45-2.52
Co 0.0618 0.5610 0.0618  6 Co 2.45-2.52
Co 0.0670 0.5629 0.5629  6 Co 2.47-2.51
Co 0.3131 0.3131 0.3131  6 Co 2.50-2.52
Co 0.5610 0.0618 0.0618  6 Co 2.45-2.52
Co 0.5629 0.0670 0.5629  6 Co 2.47-2.51
Co 0.5629 0.5629 0.0670  6 Co 2.47-2.51
Co 0.8135 0.8135 0.8135  6 Co 2.45-2.48

(4)
First-principles (GGA-PBE) data for crystalline NiGeRu at its relaxed geometry, as listed in the Alexandria database.

ΔE_f   -0.42 eV/f.u.
SG   Pmmn

Lattice parameters (Å, degrees): 2.8178 4.0217 6.9153 90.00 90.00 90.00
Closest atoms and distances in Å follow each position.
Positions (direct):
Ni 0.2500 0.2500 0.0453  4 Ge 2.46-2.48, 4 Ni 2.53, 2 Ru 2.74
Ni 0.7500 0.7500 0.9547  4 Ge 2.46-2.48, 4 Ni 2.53, 2 Ru 2.74
Ge 0.2500 0.7500 0.2501  4 Ni 2.46-2.48, 5 Ru 2.52-2.63
Ge 0.7500 0.2500 0.7499  4 Ni 2.46-2.48, 5 Ru 2.52-2.63
Ru 0.2500 0.7500 0.6144  5 Ge 2.52-2.63, 2 Ni 2.74, 2 Ru 2.82
Ru 0.7500 0.2500 0.3856  5 Ge 2.52-2.63, 2 Ni 2.74, 2 Ru 2.82

(5)
First-principles (GGA-PBE) data for crystalline Ca5Ag2Cl12 at its relaxed geometry, as listed in the Alexandria database.

SG   C2/m
Energy relative to the elements, uncorrected   -1919 meV per atom

Lattice parameters (Å, degrees): 8.2165 8.2165 9.8993 108.96 108.96 56.05
Closest atoms and distances in Å follow each position.
Positions (direct):
Ca 0.0000 0.0000 0.0000  4 Cl 2.67
Ca 0.2844 0.2844 0.5499  6 Cl 2.71-3.01
Ca 0.3097 0.3097 0.1283  7 Cl 2.74-2.92
Ca 0.6903 0.6903 0.8717  7 Cl 2.74-2.92
Ca 0.7156 0.7156 0.4501  6 Cl 2.71-3.01
Ag 0.1958 0.8042 0.5000  4 Cl 2.69-2.82
Ag 0.8042 0.1958 0.5000  4 Cl 2.69-2.82
Cl 0.0696 0.5438 0.3566  1 Ag 2.69, 3 Ca 2.75-2.92
Cl 0.0772 0.0772 0.3258  2 Ag 2.82, 2 Ca 3.00-3.01
Cl 0.0917 0.6290 0.9886  3 Ca 2.67-2.92
Cl 0.3710 0.9083 0.0114  3 Ca 2.67-2.92
Cl 0.4562 0.9304 0.6434  1 Ag 2.69, 3 Ca 2.75-2.92
Cl 0.4843 0.4843 0.6877  2 Ca 2.71-2.87
Cl 0.5157 0.5157 0.3123  2 Ca 2.71-2.87
Cl 0.5438 0.0696 0.3566  1 Ag 2.69, 3 Ca 2.75-2.92
Cl 0.6290 0.0917 0.9886  3 Ca 2.67-2.92
Cl 0.9083 0.3710 0.0114  3 Ca 2.67-2.92
Cl 0.9228 0.9228 0.6742  2 Ag 2.82, 2 Ca 3.00-3.01
Cl 0.9304 0.4562 0.6434  1 Ag 2.69, 3 Ca 2.75-2.92

(6)
First-principles (GGA-PBE) data for crystalline Sc5PaIn4 at its relaxed geometry, as listed in the Alexandria database.

ΔE_f   -3.34 eV/f.u.
SG   P4/mmm

Lattice parameters (Å, degrees): 3.2640 3.2640 21.5140 90.00 90.00 90.00
Closest atoms and distances in Å follow each position.
Positions (direct):
Sc 0.0000 0.0000 0.0000  8 In 3.13, 4 Sc 3.26
Sc 0.0000 0.0000 0.1963  8 In 3.13, 4 Sc 3.26
Sc 0.0000 0.0000 0.3928  4 In 3.13, 4 Pa 3.26, 4 Sc 3.26
Sc 0.0000 0.0000 0.6072  4 In 3.13, 4 Pa 3.26, 4 Sc 3.26
Sc 0.0000 0.0000 0.8037  8 In 3.13, 4 Sc 3.26
Pa 0.5000 0.5000 0.5000  8 Sc 3.26, 4 Pa 3.26
In 0.5000 0.5000 0.0983  8 Sc 3.13, 4 In 3.26
In 0.5000 0.5000 0.2947  8 Sc 3.13, 4 In 3.26
In 0.5000 0.5000 0.7053  8 Sc 3.13, 4 In 3.26
In 0.5000 0.5000 0.9017  8 Sc 3.13, 4 In 3.26

(7)
First-principles (GGA-PBE) data for crystalline TmZrBi2 at its relaxed geometry, as listed in the Alexandria database.

Distance to the lowest polymorph of the same formula   0.015 eV per atom
ΔE_f   -1.83 eV/f.u.
SG   R3m

Lattice parameters (Å, degrees): 7.8728 7.8728 7.8728 31.21 31.21 31.21
Closest atoms and distances in Å follow each position.
Positions (direct):
Tm 0.0000 0.0000 0.0000  6 Bi 3.07-3.14
Zr 0.1702 0.1702 0.1702  6 Bi 3.04-3.06
Bi 0.4213 0.4213 0.4213  3 Zr 3.06, 3 Tm 3.14
Bi 0.5838 0.5838 0.5838  3 Zr 3.04, 3 Tm 3.07

(8)
First-principles (GGA-PBE) data for crystalline Hf2PaRe at its relaxed geometry, as listed in the Alexandria database.

Distance to the lowest polymorph of the same formula   0.140 eV per atom
ΔE_f   0.14 eV/f.u.
SG   Fm-3m

Lattice parameters (Å, degrees): 4.8273 4.8273 4.8273 60.00 60.00 60.00
Closest atoms and distances in Å follow each position.
Positions (direct):
Hf 0.2500 0.2500 0.2500  4 Re 2.96, 4 Pa 2.96
Hf 0.7500 0.7500 0.7500  4 Re 2.96, 4 Pa 2.96
Pa 0.0000 0.0000 0.0000  8 Hf 2.96
Re 0.5000 0.5000 0.5000  8 Hf 2.96

no.,E (eV for the cell shown)
1,-101.39
2,-41.21
3,-90.01
4,-40.19
5,-74.33
6,-55.45
7,-22.61
8,-41.71